{
  "formula": "CsZnPO4",
  "functional": "PBE",
  "state": "optimized geometry",
  "relative_energy_ev_per_atom": 0.000,
  "formation_energy_uncorrected_kj_per_mol_atoms": -204,
  "lattice_angstrom": [[-0.097, -0.529, -5.507], [1.264, -9.210, 0.863], [-18.596, -2.372, 0.556]],
  "species": ["Cs", "Cs", "Cs", "Cs", "Cs", "Cs", "Cs", "Cs", "Zn", "Zn", "Zn", "Zn", "Zn", "Zn", "Zn", "Zn", "P", "P", "P", "P", "P", "P", "P", "P", "O", "O", "O", "O", "O", "O", "O", "O", "O", "O", "O", "O", "O", "O", "O", "O", "O", "O", "O", "O", "O", "O", "O", "O", "O", "O", "O", "O", "O", "O", "O", "O"],
  "frac_coords": [[0.256, 0.797, 0.496], [0.244, 0.797, 0.996], [0.222, 0.687, 0.751], [0.722, 0.313, 0.749], [0.778, 0.313, 0.249], [0.756, 0.203, 0.004], [0.278, 0.687, 0.251], [0.744, 0.203, 0.504], [0.716, 0.911, 0.832], [0.284, 0.089, 0.168], [0.784, 0.911, 0.332], [0.248, 0.417, 0.412], [0.748, 0.583, 0.088], [0.752, 0.583, 0.588], [0.216, 0.089, 0.668], [0.252, 0.417, 0.912], [0.248, 0.417, 0.096], [0.782, 0.906, 0.156], [0.282, 0.094, 0.344], [0.252, 0.417, 0.596], [0.718, 0.906, 0.656], [0.752, 0.583, 0.904], [0.748, 0.583, 0.404], [0.218, 0.094, 0.844], [0.240, 0.154, 0.767], [0.308, 0.211, 0.898], [0.749, 0.553, 0.985], [0.751, 0.553, 0.485], [0.692, 0.789, 0.102], [0.698, 0.744, 0.391], [0.260, 0.154, 0.267], [0.044, 0.509, 0.132], [0.192, 0.211, 0.398], [0.507, 0.537, 0.869], [0.456, 0.509, 0.632], [0.949, 0.059, 0.862], [0.375, 0.957, 0.854], [0.808, 0.789, 0.602], [0.740, 0.846, 0.733], [0.051, 0.941, 0.138], [0.493, 0.463, 0.131], [0.956, 0.491, 0.868], [0.544, 0.491, 0.368], [0.249, 0.447, 0.515], [0.760, 0.846, 0.233], [0.125, 0.957, 0.354], [0.302, 0.256, 0.609], [0.875, 0.043, 0.646], [0.251, 0.447, 0.015], [0.449, 0.941, 0.638], [0.198, 0.256, 0.109], [0.007, 0.463, 0.631], [0.802, 0.744, 0.891], [0.625, 0.043, 0.146], [0.993, 0.537, 0.369], [0.551, 0.059, 0.362]]
}

***

{
  "formula": "CsZnPO2",
  "functional": "PBE",
  "state": "optimized geometry",
  "relative_energy_ev_per_atom": 0.000,
  "formation_energy_uncorrected_kj_per_mol_atoms": 11,
  "lattice_angstrom": [[-4.032, 0.871, 1.285], [0.883, -1.653, 3.893], [1.384, 4.222, 1.479]],
  "species": ["Cs", "P", "Zn", "O", "O"],
  "frac_coords": [[0.500, 0.500, 0.500], [0.000, 0.000, 0.500], [0.000, 0.000, 0.000], [0.000, 0.500, 0.000], [0.500, 0.000, 0.000]]
}

***

{
  "formula": "CsZnPO4",
  "functional": "PBE",
  "state": "optimized geometry",
  "relative_energy_ev_per_atom": 0.001,
  "formation_energy_uncorrected_kj_per_mol_atoms": -204,
  "lattice_angstrom": [[5.455, 0.000, 0.000], [0.000, 9.620, 0.000], [0.000, 0.000, 9.362]],
  "species": ["Cs", "Cs", "Cs", "Cs", "Zn", "Zn", "Zn", "Zn", "P", "P", "P", "P", "O", "O", "O", "O", "O", "O", "O", "O", "O", "O", "O", "O", "O", "O", "O", "O"],
  "frac_coords": [[0.753, 0.006, 0.804], [0.253, 0.494, 0.304], [0.253, 0.994, 0.196], [0.753, 0.506, 0.696], [0.253, 0.335, 0.906], [0.753, 0.165, 0.406], [0.253, 0.835, 0.594], [0.753, 0.665, 0.094], [0.753, 0.807, 0.417], [0.253, 0.193, 0.583], [0.753, 0.307, 0.083], [0.253, 0.693, 0.917], [0.590, 0.778, 0.550], [0.090, 0.722, 0.050], [0.658, 0.219, 0.210], [0.590, 0.278, 0.950], [0.021, 0.762, 0.453], [0.158, 0.281, 0.710], [0.521, 0.238, 0.547], [0.021, 0.262, 0.047], [0.244, 0.038, 0.626], [0.090, 0.222, 0.450], [0.744, 0.462, 0.126], [0.744, 0.962, 0.374], [0.244, 0.538, 0.874], [0.158, 0.781, 0.790], [0.658, 0.719, 0.290], [0.521, 0.738, 0.953]]
}

***

{
  "formula": "CsZn2P2O7",
  "functional": "PBE",
  "state": "optimized geometry",
  "formation_energy_uncorrected_kj_per_mol_atoms": -179,
  "lattice_angstrom": [[-3.466, -1.524, -4.029], [1.910, -0.834, -5.121], [0.876, -8.773, -1.229]],
  "species": ["Cs", "Zn", "Zn", "P", "P", "O", "O", "O", "O", "O", "O", "O"],
  "frac_coords": [[0.500, 0.500, 0.500], [0.719, 0.719, 0.844], [0.281, 0.281, 0.156], [0.936, 0.936, 0.192], [0.064, 0.064, 0.808], [0.135, 0.995, 0.247], [0.623, 0.135, 0.247], [0.995, 0.623, 0.247], [0.377, 0.005, 0.753], [0.865, 0.377, 0.753], [0.000, 0.000, 0.000], [0.005, 0.865, 0.753]]
}

***

{
  "formula": "CsZnP2O",
  "functional": "PBE",
  "state": "optimized geometry",
  "relative_energy_ev_per_atom": 0.000,
  "formation_energy_uncorrected_kj_per_mol_atoms": 43,
  "lattice_angstrom": [[4.795, 0.000, 0.000], [0.000, 4.795, 0.000], [0.000, 0.000, 4.726]],
  "species": ["Cs", "P", "P", "Zn", "O"],
  "frac_coords": [[0.500, 0.500, 0.500], [0.000, 0.500, 0.000], [0.500, 0.000, 0.000], [0.000, 0.000, 0.000], [0.000, 0.000, 0.500]]
}

***

{
  "formula": "CsZnPO2",
  "functional": "PBE",
  "state": "optimized geometry",
  "relative_energy_ev_per_atom": 0.854,
  "formation_energy_uncorrected_kj_per_mol_atoms": 94,
  "lattice_angstrom": [[4.207, 0.000, 0.000], [0.000, 4.207, 0.000], [0.000, 0.000, 6.405]],
  "species": ["Cs", "P", "Zn", "O", "O"],
  "frac_coords": [[0.000, 0.000, 0.000], [0.000, 0.000, 0.500], [0.500, 0.500, 0.500], [0.000, 0.500, 0.000], [0.500, 0.000, 0.000]]
}

***

{
  "formula": "CsZnPO4",
  "functional": "PBE",
  "state": "optimized geometry",
  "relative_energy_ev_per_atom": 0.066,
  "formation_energy_uncorrected_kj_per_mol_atoms": -198,
  "lattice_angstrom": [[-1.910, -4.446, 2.066], [3.701, 0.289, 4.044], [-4.094, 8.642, 3.128]],
  "species": ["Cs", "Cs", "Zn", "Zn", "P", "P", "O", "O", "O", "O", "O", "O", "O", "O"],
  "frac_coords": [[0.625, 0.750, 0.833], [0.375, 0.250, 0.167], [0.837, 0.750, 0.498], [0.163, 0.250, 0.502], [0.109, 0.750, 0.314], [0.891, 0.250, 0.686], [0.033, 0.474, 0.644], [0.967, 0.974, 0.356], [0.967, 0.526, 0.356], [0.033, 0.026, 0.644], [0.039, 0.750, 0.150], [0.961, 0.250, 0.850], [0.431, 0.750, 0.420], [0.569, 0.250, 0.580]]
}

***

{
  "formula": "CsZnP2O",
  "functional": "PBE",
  "state": "optimized geometry",
  "relative_energy_ev_per_atom": 1.118,
  "formation_energy_uncorrected_kj_per_mol_atoms": 151,
  "lattice_angstrom": [[5.603, 0.000, 0.000], [0.000, 5.603, 0.000], [0.000, 0.000, 4.384]],
  "species": ["Cs", "P", "P", "Zn", "O"],
  "frac_coords": [[0.000, 0.000, 0.000], [0.000, 0.500, 0.000], [0.500, 0.000, 0.000], [0.500, 0.500, 0.500], [0.000, 0.000, 0.500]]
}

***

{
  "formula": "Cs2ZrPO6",
  "functional": "PBE",
  "state": "optimized geometry",
  "formation_energy_uncorrected_kj_per_mol_atoms": -195,
  "lattice_angstrom": [[5.278, 0.000, 0.000], [0.000, 6.686, 0.000], [0.000, -3.343, 5.791]],
  "species": ["Cs", "Cs", "Zr", "P", "O", "O", "O", "O", "O", "O"],
  "frac_coords": [[0.158, 0.333, 0.667], [0.842, 0.667, 0.333], [0.500, 0.000, 0.000], [0.000, 0.000, 0.000], [0.804, 0.121, 0.242], [0.804, 0.121, 0.879], [0.804, 0.758, 0.879], [0.196, 0.879, 0.121], [0.196, 0.242, 0.121], [0.196, 0.879, 0.758]]
}

***

{
  "formula": "CsZrPO2",
  "functional": "PBE",
  "state": "optimized geometry",
  "relative_energy_ev_per_atom": 0.000,
  "formation_energy_uncorrected_kj_per_mol_atoms": -134,
  "lattice_angstrom": [[4.253, 0.000, 0.000], [0.000, 4.253, 0.000], [0.000, 0.000, 5.489]],
  "species": ["Cs", "P", "O", "O", "Zr"],
  "frac_coords": [[0.500, 0.500, 0.500], [0.000, 0.000, 0.500], [0.000, 0.500, 0.000], [0.500, 0.000, 0.000], [0.000, 0.000, 0.000]]
}

***

{
  "formula": "CsZr2P3O12",
  "functional": "PBE",
  "state": "optimized geometry",
  "formation_energy_uncorrected_kj_per_mol_atoms": -262,
  "lattice_angstrom": [[-3.506, 4.887, -7.747], [-7.133, -2.892, -6.079], [-8.923, 3.958, -0.949]],
  "species": ["Cs", "Cs", "O", "O", "O", "O", "O", "O", "O", "O", "O", "O", "O", "O", "O", "O", "O", "O", "O", "O", "O", "O", "O", "O", "O", "O", "P", "P", "P", "P", "P", "P", "Zr", "Zr", "Zr", "Zr"],
  "frac_coords": [[0.000, 0.000, 0.000], [0.500, 0.500, 0.500], [0.577, 0.424, 0.807], [0.807, 0.577, 0.424], [0.424, 0.807, 0.577], [0.693, 0.076, 0.923], [0.076, 0.923, 0.693], [0.923, 0.693, 0.076], [0.423, 0.576, 0.193], [0.193, 0.423, 0.576], [0.576, 0.193, 0.423], [0.307, 0.924, 0.077], [0.924, 0.077, 0.307], [0.077, 0.307, 0.924], [0.356, 0.266, 0.986], [0.986, 0.356, 0.266], [0.266, 0.986, 0.356], [0.514, 0.234, 0.144], [0.234, 0.144, 0.514], [0.144, 0.514, 0.234], [0.644, 0.734, 0.014], [0.014, 0.644, 0.734], [0.734, 0.014, 0.644], [0.486, 0.766, 0.856], [0.766, 0.856, 0.486], [0.856, 0.486, 0.766], [0.967, 0.533, 0.250], [0.250, 0.967, 0.533], [0.533, 0.250, 0.967], [0.033, 0.467, 0.750], [0.750, 0.033, 0.467], [0.467, 0.750, 0.033], [0.153, 0.153, 0.153], [0.347, 0.347, 0.347], [0.847, 0.847, 0.847], [0.653, 0.653, 0.653]]
}

***

{
  "formula": "CsZrPO2",
  "functional": "PBE",
  "state": "optimized geometry",
  "relative_energy_ev_per_atom": 2.001,
  "formation_energy_uncorrected_kj_per_mol_atoms": 59,
  "lattice_angstrom": [[-0.262, -1.410, 3.870], [3.975, 0.931, 0.609], [-1.800, 6.274, 2.165]],
  "species": ["Cs", "P", "O", "O", "Zr"],
  "frac_coords": [[0.000, 0.000, 0.000], [0.000, 0.000, 0.500], [0.000, 0.500, 0.000], [0.500, 0.000, 0.000], [0.500, 0.500, 0.500]]
}

***

Which formula does entry 1 have?
CsZnPO4